# 1
{
  "formula": "CoNiIr2",
  "functional": "PBE-GGA",
  "state": "relaxed",
  "e_form_ev_per_fu": 2.51,
  "e_above_lowest_polymorph_mev_per_atom": 622,
  "magnetic_moment_mub_per_atom": 0.47,
  "sg": "I-42d (122)",
  "dos_ef_per_ev_atom": 1.45,
  "lattice_angstrom": [[-3.2809, 3.2809, 2.6106], [3.2809, -3.2809, 2.6106], [3.2809, 3.2809, -2.6106]],
  "species": ["Co", "Co", "Ni", "Ni", "Ir", "Ir", "Ir", "Ir"],
  "frac_coords": [[0.0000, 0.0000, 0.0000], [0.7500, 0.2500, 0.5000], [0.2500, 0.7500, 0.5000], [0.5000, 0.5000, 0.0000], [0.1125, 0.6250, 0.9875], [0.3750, 0.3625, 0.4875], [0.6375, 0.1250, 0.0125], [0.8750, 0.8875, 0.5125]]
}

---

# 2
{
  "formula": "Y3Pu2Ru4",
  "functional": "PBE-GGA",
  "state": "relaxed",
  "e_form_ev_per_fu": -2.94,
  "magnetic_moment_mub_per_atom": 0.85,
  "sg": "C2/m (12)",
  "dos_ef_per_ev_atom": 1.05,
  "lattice_angstrom": [[5.4047, -2.1030, 0.0000], [5.4047, 2.1030, 0.0000], [-1.6481, 0.0000, 8.7531]],
  "species": ["Y", "Y", "Y", "Pu", "Pu", "Ru", "Ru", "Ru", "Ru"],
  "frac_coords": [[0.0000, 0.0000, 0.0000], [0.3740, 0.3740, 0.6114], [0.6260, 0.6260, 0.3886], [0.3290, 0.3290, 0.2159], [0.6710, 0.6710, 0.7841], [0.0883, 0.0883, 0.6282], [0.2846, 0.2846, 0.9057], [0.7154, 0.7154, 0.0943], [0.9117, 0.9117, 0.3718]]
}

---

# 3
{
  "formula": "Hf2PaTc4",
  "functional": "PBE-GGA",
  "state": "relaxed",
  "e_form_ev_per_fu": 1.02,
  "magnetic_moment_mub_per_atom": 0.00,
  "sg": "I4/mmm (139)",
  "dos_ef_per_ev_atom": 1.71,
  "lattice_angstrom": [[-3.2520, 3.2520, 3.1758], [3.2520, -3.2520, 3.1758], [3.2520, 3.2520, -3.1758]],
  "species": ["Hf", "Hf", "Pa", "Tc", "Tc", "Tc", "Tc"],
  "frac_coords": [[0.0000, 0.5000, 0.5000], [0.5000, 0.0000, 0.5000], [0.0000, 0.0000, 0.0000], [0.0000, 0.0000, 0.5000], [0.0000, 0.5000, 0.0000], [0.5000, 0.0000, 0.0000], [0.5000, 0.5000, 0.5000]]
}

---

no.,VASP energy (eV per atom)
1,-7.025
2,-9.788
3,-9.979